This record from Alexandria describes a relaxed structure of EuPuPt4. The functional is PBE.

```
data_EuPuPt4
_cell_length_a 9.490
_cell_length_b 9.490
_cell_length_c 9.490
_cell_angle_alpha 90.00
_cell_angle_beta 90.00
_cell_angle_gamma 90.00
_symmetry_space_group_name_H-M 'F -4 3 m'
_symmetry_Int_Tables_number 216
_symmetry_space_group_name_Hall 'F -4 2 3'
loop_
_atom_site_label
_atom_site_type_symbol
_atom_site_fract_x
_atom_site_fract_y
_atom_site_fract_z
Eu1 Eu 0.000 0.000 0.000
Pu1 Pu 0.250 0.250 0.750
Pt1 Pt 0.153 0.153 0.153
```

Calculated values
Crystal system: cubic
M_tot: 1.84 Bohr magnetons per cell
Energy relative to the elements: 5.81 eV per formula unit